{"formula": "Hf2GaMoF", "functional": "PBE+U", "state": "optimized geometry", "dft_energy_ev_per_atom": -5.823, "mass_density_g_cm3": 8.2, "m_tot_mub_per_fu": 4.0, "lattice_angstrom": [[5.2962, 0.0000, 0.0000], [0.0000, 3.9341, 0.0000], [0.0000, 0.0000, 5.2962]], "species": ["F", "Ga", "Mo", "Hf", "Hf"], "fractional_positions": [[0.0000, 0.5000, 0.0000], [0.0000, 0.0000, 0.0000], [0.5000, 0.5000, 0.5000], [0.5000, 0.0000, 0.0000], [0.0000, 0.0000, 0.5000]]}